(1)
A plane-wave DFT calculation with PBE was carried out for crystalline CrSiB2S at its relaxed geometry.

Lattice parameters (Å, degrees): 3.800 4.791 3.800 90.00 90.00 90.00
Last column: magnetic moment on the atom in μB.
Atoms (fractional coordinates):
Cr (0.500, 0.500, 0.500)  -0.11
B (0.000, 0.000, 0.500)  0.00
B (0.500, 0.000, 0.000)  -0.01
S (0.000, 0.500, 0.000)  0.03
Si (0.000, 0.000, 0.000)  0.01

***

(2)
A plane-wave DFT calculation with PBE was carried out for crystalline CsNb6Te8 at its relaxed geometry.

Lattice parameters (Å, degrees): 10.990 10.990 3.686 90.00 90.00 120.00
Atoms (fractional coordinates):
Te (0.722, 0.068, 0.756)
Te (0.068, 0.346, 0.244)
Te (0.346, 0.278, 0.756)
Te (0.667, 0.333, 0.249)
Te (0.654, 0.722, 0.244)
Te (0.333, 0.667, 0.751)
Te (0.932, 0.654, 0.756)
Te (0.278, 0.932, 0.244)
Nb (0.100, 0.612, 0.253)
Nb (0.900, 0.388, 0.747)
Nb (0.612, 0.512, 0.747)
Nb (0.512, 0.900, 0.253)
Nb (0.488, 0.100, 0.747)
Nb (0.388, 0.488, 0.253)
Cs (0.000, 0.000, 0.500)

***

Number 1: E_form (uncorrected) 703 kJ/mol of formula units. Number 2: E_form (uncorrected) -736 kJ/mol of formula units.